i | Computed, not measured: NiBMoRu2 after structural relaxation at the PBE-GGA level of DFT.

Output
Crystal system: tetragonal
Spin magnetization: 0.0 μB/f.u.

Lattice parameters (Å, degrees): 4.6200 4.4683 4.6200 90.00 90.00 90.00
With the nearest neighbours (Å) after each atom.
Positions (direct):
1 Ru 0.0000 0.0000 0.5000  2 Mo 2.31
2 Ru 0.5000 0.0000 0.0000  2 Mo 2.31
3 Mo 0.0000 0.0000 0.0000  2 Ni 2.23, 4 Ru 2.31
4 B 0.5000 0.5000 0.5000  8 Ru 3.21, 4 Ni 3.27
5 Ni 0.0000 0.5000 0.0000  2 Mo 2.23



ii | Computed, not measured: NiBMoRu2 after structural relaxation at the PBE-GGA level of DFT.

Output
Crystal system: tetragonal
Spin magnetization: 2.9 μB/f.u.

Lattice parameters (Å, degrees): 4.3938 4.3802 4.3938 90.00 90.00 90.00
With the nearest neighbours (Å) after each atom.
Positions (direct):
1 Ru 0.0000 0.0000 0.5000  2 Ni 2.20
2 Ru 0.5000 0.0000 0.0000  2 Ni 2.20
3 Mo 0.0000 0.5000 0.0000  2 Ni 2.19
4 B 0.5000 0.5000 0.5000  8 Ru 3.10, 4 Mo 3.11
5 Ni 0.0000 0.0000 0.0000  2 Mo 2.19, 4 Ru 2.20



Most stable: ii. Least stable: i.